Density functional theory data (PBE) for crystalline Mn5Ag4 at its relaxed geometry.

The value obtained for the formation enthalpy at 0 K is 0.37 eV/atom.

It has space group I4/mmm (No. 139), with a = 8.5927 Å, b = 8.5927 Å, c = 3.9727 Å, α = 90.00°, β = 90.00° and γ = 90.00°. The distinct sites, in fractional coordinates, are Mn at (0.0000, 0.0000, 0.0000), Mn at (0.1632, 0.1632, 0.5000) and Ag at (0.0000, 0.3251, 0.0000).


Density functional theory data (PBE) for crystalline SrPBr at its relaxed geometry.

For the energy relative to the lowest polymorph listed for this composition, the calculation gives 715.2 meV per atom. Its formation energy without anion corrections is -162 kJ/mol of formula units.

It has space group F-43m (No. 216), with a = 7.3981 Å, b = 7.3981 Å, c = 7.3981 Å, α = 90.00°, β = 90.00° and γ = 90.00°. The distinct sites, in fractional coordinates, are Sr at (0.0000, 0.0000, 0.0000), P at (0.2500, 0.2500, 0.2500) and Br at (0.2500, 0.2500, 0.7500).


Density functional theory data (PBE) for crystalline LaMnRuBr2 at its relaxed geometry.

Its formation energy without anion corrections is 247 kJ/mol of formula units.

It has space group P4/mmm (No. 123), with a = 4.7862 Å, b = 4.7862 Å, c = 6.1207 Å, α = 90.00°, β = 90.00° and γ = 90.00°. The distinct sites, in fractional coordinates, are La at (0.0000, 0.0000, 0.0000), Mn at (0.0000, 0.0000, 0.5000), Ru at (0.5000, 0.5000, 0.0000) and Br at (0.0000, 0.5000, 0.5000).


Density functional theory data (PBE) for crystalline Tl2IrN at its relaxed geometry.

For the energy relative to the lowest polymorph listed for this composition, the calculation gives 0.0 meV per atom. Its formation energy without anion corrections is 445 kJ/mol of formula units.

It has space group I-42d (No. 122), with a = 6.8476 Å, b = 6.8476 Å, c = 6.2507 Å, α = 90.00°, β = 90.00° and γ = 90.00°. The distinct sites, in fractional coordinates, are Tl at (0.1996, 0.7500, 0.1250), Ir at (0.0000, 0.0000, 0.5000) and N at (0.0000, 0.0000, 0.0000).


Density functional theory data (PBE) for crystalline Y2PaS3 at its relaxed geometry.

Its formation energy without anion corrections is -1064 kJ/mol of formula units.

It has space group C2/m (No. 12), with a = 6.7426 Å, b = 11.6764 Å, c = 6.8168 Å, α = 90.00°, β = 109.30° and γ = 90.00°. The distinct sites, in fractional coordinates, are Y at (0.0000, 0.0000, 0.0000), Y at (0.0000, 0.1639, 0.5000), Y at (0.0000, 0.5000, 0.5000), Pa at (0.0000, 0.3334, 0.0000), S at (0.2493, 0.3333, 0.7479) and S at (0.2501, 0.0000, 0.7505).


Density functional theory data (PBE) for crystalline Ce2HoEr at its relaxed geometry.

For the energy relative to the lowest polymorph listed for this composition, the calculation gives 0.0 meV per atom. The value obtained for the formation enthalpy at 0 K is 0.08 eV/atom.

It has space group R-3m (No. 166, hexagonal axes), with a = 3.4702 Å, b = 3.4702 Å, c = 34.2841 Å, α = 90.00°, β = 90.00° and γ = 120.00°. The distinct sites, in fractional coordinates, are Ce at (0.0000, 0.0000, 0.2502), Ho at (0.0000, 0.0000, 0.5000) and Er at (0.0000, 0.0000, 0.0000).


Density functional theory data (PBE) for crystalline BaNaFeH6 at its relaxed geometry.

The value obtained for the total energy is -3.71 eV/atom.

It has space group C2 (No. 5), with a = 5.0755 Å, b = 8.9497 Å, c = 4.7506 Å, α = 90.00°, β = 90.04° and γ = 90.00°. The distinct sites, in fractional coordinates, are Ba at (0.0000, 0.0000, 0.0000), Na at (0.0000, 0.3305, 0.5000), Fe at (0.0000, 0.6598, 0.5000), H at (0.0008, 0.5349, 0.2619), H at (0.1822, 0.7334, 0.2719) and H at (0.1835, 0.7328, 0.7287).


Density functional theory data (PBE) for crystalline Ba3AlF at its relaxed geometry.

For the energy relative to the lowest polymorph listed for this composition, the calculation gives 0.0 meV per atom. Its formation energy without anion corrections is -516 kJ/mol of formula units.

It has space group Pm-3m (No. 221), with a = 5.5690 Å, b = 5.5690 Å, c = 5.5690 Å, α = 90.00°, β = 90.00° and γ = 90.00°. The distinct sites, in fractional coordinates, are Ba at (0.0000, 0.0000, 0.5000), Al at (0.5000, 0.5000, 0.5000) and F at (0.0000, 0.0000, 0.0000).


Density functional theory data (PBE) for crystalline Zr2TlI at its relaxed geometry.

For the energy relative to the lowest polymorph listed for this composition, the calculation gives 230.5 meV per atom. Its formation energy without anion corrections is 125 kJ/mol of formula units.

It has space group I-42d (No. 122), with a = 4.5304 Å, b = 4.5304 Å, c = 21.1227 Å, α = 90.00°, β = 90.00° and γ = 90.00°. The distinct sites, in fractional coordinates, are Zr at (0.2429, 0.2500, 0.1250), Tl at (0.0000, 0.0000, 0.0000) and I at (0.0000, 0.0000, 0.5000).


Density functional theory data (PBE) for crystalline PaSiPd2 at its relaxed geometry.

Its formation energy without anion corrections is -272 kJ/mol of formula units.

It has space group Pnma (No. 62), with a = 15.5927 Å, b = 6.8097 Å, c = 5.4486 Å, α = 90.00°, β = 90.00° and γ = 90.00°. The distinct sites, in fractional coordinates, are Pa at (0.0991, 0.2500, 0.2285), Pa at (0.1450, 0.7500, 0.5024), Si at (0.0741, 0.7500, 0.0141), Si at (0.1803, 0.2500, 0.7128), Pd at (0.0353, 0.0480, 0.7300) and Pd at (0.2147, 0.5450, 0.9762).


Density functional theory data (PBE) for crystalline SmHo4Pu3Se8 at its relaxed geometry.

Its formation energy without anion corrections is -2619 kJ/mol of formula units.

It has space group R-3m (No. 166, hexagonal axes), with a = 8.1756 Å, b = 8.1756 Å, c = 20.2492 Å, α = 90.00°, β = 90.00° and γ = 120.00°. The distinct sites, in fractional coordinates, are Sm at (0.0000, 0.0000, 0.0000), Ho at (0.0000, 0.0000, 0.5000), Ho at (0.0000, 0.5000, 0.5000), Pu at (0.0000, 0.5000, 0.0000), Se at (0.0000, 0.0000, 0.2476) and Se at (0.0012, 0.5006, 0.2472).


Density functional theory data (PBE) for crystalline YAlCr at its relaxed geometry.

The value obtained for the formation enthalpy at 0 K is -0.01 eV/atom.

It has space group Imm2 (No. 44), with a = 4.6656 Å, b = 6.7702 Å, c = 7.7310 Å, α = 90.00°, β = 90.00° and γ = 90.00°. The distinct sites, in fractional coordinates, are Y at (0.0000, 0.0000, 0.0000), Y at (0.0000, 0.5000, 0.1162), Al at (0.0000, 0.3023, 0.7058) and Cr at (0.0000, 0.1373, 0.3785).


Number 1: total magnetization 38.74 Bohr magnetons per cell. Number 2: total magnetization 8.00 Bohr magnetons per cell. Number 3: total magnetization 5.59 Bohr magnetons per cell. Number 4: total magnetization 0.00 Bohr magnetons per cell. Number 5: total magnetization 0.00 Bohr magnetons per cell. Number 6: total magnetization 4.43 Bohr magnetons per cell. Number 7: total magnetization 2.00 Bohr magnetons per cell. Number 8: total magnetization 0.00 Bohr magnetons per cell. Number 9: total magnetization 0.00 Bohr magnetons per cell. Number 10: total magnetization 0.00 Bohr magnetons per cell. Number 11: total magnetization 53.30 Bohr magnetons per cell. Number 12: total magnetization 0.00 Bohr magnetons per cell.